No. 1
Density functional theory data (GGA-PBE) for a relaxed HfZr2Rh3 crystal.

a = 4.3636 Å, b = 15.1070 Å, c = 3.3123 Å
α = 90.00°, β = 90.00°, γ = 90.00°
Space group Pmmn (No. 59, origin choice 2)
Unique sites:
1 Hf 0.2500 0.2500 0.2489 x2
2 Zr 0.2500 0.5748 0.7507 x4
3 Rh 0.2500 0.1071 0.7492 x4
4 Rh 0.2500 0.7500 0.2512 x2

## Properties
**Density of states at the Fermi level**: 0.637 states/eV per atom
**V**: 218.4 Å³ per cell
**DFT formation energy**: -0.8575 eV/atom

---

No. 2
Density functional theory data (GGA-PBE) for a relaxed Hf3Zr2Rh3 crystal.

a = 3.4510 Å, b = 4.5952 Å, c = 18.7762 Å
α = 90.00°, β = 90.00°, γ = 90.00°
Space group Immm (No. 71)
Unique sites:
1 Hf 0.0000 0.0000 0.0000 x2
2 Hf 0.0000 0.5000 0.1179 x4
3 Zr 0.0000 0.0000 0.2434 x4
4 Rh 0.0000 0.0000 0.5000 x2
5 Rh 0.0000 0.5000 0.3831 x4

## Properties
**Density of states at the Fermi level**: 0.629 states/eV per atom
**V**: 297.8 Å³ per cell
**DFT formation energy**: -0.6551 eV/atom

---

No. 3
Density functional theory data (GGA-PBE) for a relaxed HfZr2Rh2 crystal.

a = 7.4267 Å, b = 7.4267 Å, c = 3.4951 Å
α = 90.00°, β = 90.00°, γ = 90.00°
Space group P4/mbm (No. 127)
Unique sites:
1 Hf 0.0000 0.0000 0.0000 x2
2 Zr 0.1703 0.3297 0.5000 x4
3 Rh 0.1328 0.6328 0.0000 x4

## Properties
**Density of states at the Fermi level**: 1.249 states/eV per atom
**Energy relative to the lowest polymorph listed for this composition**: 7 meV per atom
**V**: 192.8 Å³ per cell
**DFT formation energy**: -0.5927 eV/atom

---

No. 4
Density functional theory data (GGA-PBE) for a relaxed Hf2ZrRh2 crystal.

a = 7.9161 Å, b = 7.9161 Å, c = 2.9948 Å
α = 90.00°, β = 90.00°, γ = 90.00°
Space group P4/mbm (No. 127)
Unique sites:
1 Hf 0.1476 0.3524 0.0000 x4
2 Zr 0.0000 0.0000 0.0000 x2
3 Rh 0.1493 0.6493 0.5000 x4

## Properties
**Density of states at the Fermi level**: 0.985 states/eV per atom
**Energy relative to the lowest polymorph listed for this composition**: 87 meV per atom
**V**: 187.7 Å³ per cell
**DFT formation energy**: -0.5436 eV/atom

---

No. 5
Density functional theory data (GGA-PBE) for a relaxed HfZrRh4 crystal.

a = 4.3023 Å, b = 4.3023 Å, c = 6.1411 Å
α = 90.00°, β = 90.00°, γ = 90.00°
Space group P4/mmm (No. 123)
Unique sites:
1 Hf 0.0000 0.0000 0.0000 x1
2 Zr 0.5000 0.5000 0.5000 x1
3 Rh 0.0000 0.5000 0.2470 x4

## Properties
**Density of states at the Fermi level**: 0.670 states/eV per atom
**V**: 113.7 Å³ per cell
**DFT formation energy**: -0.3067 eV/atom

---

No. 6
Density functional theory data (GGA-PBE) for a relaxed Hf2ZrRh crystal.

a = 6.7506 Å, b = 6.7506 Å, c = 6.7506 Å
α = 90.00°, β = 90.00°, γ = 90.00°
Space group Fm-3m (No. 225)
Unique sites:
1 Hf 0.2500 0.2500 0.2500 x8
2 Zr 0.0000 0.0000 0.0000 x4
3 Rh 0.0000 0.0000 0.5000 x4

## Properties
**Density of states at the Fermi level**: 1.456 states/eV per atom
**Energy relative to the lowest polymorph listed for this composition**: 215 meV per atom
**V**: 307.6 Å³ per cell
**DFT formation energy**: -0.2467 eV/atom